## Tm4Sn2Sb (PBE-GGA)

Data for a relaxed structure of Tm4Sn2Sb.

Cell: 6.044 6.430 10.098 Å, 90.00 99.28 90.00°
Fractional positions:
Tm 0.863 0.250 0.550
Tm 0.429 0.495 0.733
Tm 0.032 0.250 0.162
Tm 0.137 0.750 0.450
Tm 0.571 0.505 0.267
Tm 0.968 0.750 0.838
Tm 0.429 0.005 0.733
Tm 0.571 0.995 0.267
Sn 0.686 0.750 0.541
Sn 0.314 0.250 0.459
Sn 0.492 0.250 0.007
Sn 0.508 0.750 0.993
Sb 0.951 0.250 0.844
Sb 0.049 0.750 0.156

Computed properties:
Energy relative to the elements, uncorrected in eV per atom: -0.603
SG: P2_1/m
N(E_F) in states/eV/f.u.: 2.79
V in Å³ per atom: 27.67